Below is crystalline Zn2Sb at its relaxed geometry, with properties calculated at the PBE level.

The structure in CIF format:
```
data_Zn2Sb
_cell_length_a 4.0148
_cell_length_b 10.5177
_cell_length_c 5.6944
_cell_angle_alpha 90.00
_cell_angle_beta 90.00
_cell_angle_gamma 90.00
_symmetry_space_group_name_H-M 'C m c m'
_symmetry_Int_Tables_number 63
_symmetry_space_group_name_Hall '-C 2c 2'
loop_
_atom_site_label
_atom_site_type_symbol
_atom_site_fract_x
_atom_site_fract_y
_atom_site_fract_z
Zn1 Zn 0.0000 0.0000 0.0000
Zn2 Zn 0.0000 0.3646 0.2500
Sb1 Sb 0.0000 0.3406 0.7500
```

***

# ZnSb3 (PBE, optimized geometry)
data_ZnSb3
_cell_length_a 3.1188
_cell_length_b 4.1613
_cell_length_c 8.3341
_cell_angle_alpha 90.00
_cell_angle_beta 98.86
_cell_angle_gamma 90.00
_symmetry_space_group_name_H-M 'P 1 2/m 1'
_symmetry_Int_Tables_number 10
loop_
_symmetry_equiv_pos_as_xyz
'x,y,z'
'-x,-y,-z'
'-x,y,-z'
'x,-y,z'
loop_
_atom_site_label
_atom_site_type_symbol
_atom_site_fract_x
_atom_site_fract_y
_atom_site_fract_z
Zn1 Zn 0.0000 0.0000 0.0000
Sb1 Sb 0.0000 0.0000 0.5000
Sb2 Sb 0.1119 0.5000 0.7756
# - Energy above the most stable polymorph in this dataset: 0.009 eV per atom

***

Below is crystalline Zn2Sb at its relaxed geometry, with properties calculated at the PBE level.

The structure in CIF format:
```
data_Zn2Sb
_cell_length_a 4.4852
_cell_length_b 5.4228
_cell_length_c 5.7670
_cell_angle_alpha 90.00
_cell_angle_beta 90.00
_cell_angle_gamma 90.00
_symmetry_space_group_name_H-M 'I m m m'
_symmetry_Int_Tables_number 71
_symmetry_space_group_name_Hall '-I 2 2'
loop_
_atom_site_label
_atom_site_type_symbol
_atom_site_fract_x
_atom_site_fract_y
_atom_site_fract_z
Zn1 Zn 0.0000 0.0000 0.2170
Sb1 Sb 0.0000 0.5000 0.0000
```

***

# ZnSb3 (PBE, optimized geometry)
data_ZnSb3
_cell_length_a 4.6727
_cell_length_b 4.6727
_cell_length_c 4.6727
_cell_angle_alpha 90.00
_cell_angle_beta 90.00
_cell_angle_gamma 90.00
_symmetry_space_group_name_H-M 'P m -3 m'
_symmetry_Int_Tables_number 221
_symmetry_space_group_name_Hall '-P 4 2 3'
loop_
_atom_site_label
_atom_site_type_symbol
_atom_site_fract_x
_atom_site_fract_y
_atom_site_fract_z
Zn1 Zn 0.0000 0.0000 0.0000
Sb1 Sb 0.0000 0.5000 0.5000
# - Energy above the most stable polymorph in this dataset: 0.183 eV per atom

***

Respective uncorrected formation energy values: 0.1102 0.0955 0.0868 0.2699 eV per atom.
Respective D(E_F) values: 2.2 1.8 1.2 2.6 states/eV per cell.
Respective density values: 6.977 6.692 5.980 7.010 Mg/m³.